A relaxed structure of Sr3TlHg7, computed with PBE.

Lattice parameters (Å, degrees): 11.0627 11.0627 14.6681 90.00 90.00 157.38
Closest atoms and distances in Å follow each position.
Element x y z (fractional)
Sr 0.0958 0.9042 0.5518  8 Hg 3.31-3.63
Sr 0.0958 0.9042 0.9482  8 Hg 3.31-3.63
Sr 0.2544 0.7456 0.2500  7 Hg 3.17-3.40
Sr 0.7456 0.2544 0.7500  7 Hg 3.17-3.40
Sr 0.9042 0.0958 0.0518  8 Hg 3.31-3.63
Sr 0.9042 0.0958 0.4482  8 Hg 3.31-3.63
Tl 0.0508 0.9492 0.2500  8 Hg 3.14-3.50
Tl 0.9492 0.0508 0.7500  8 Hg 3.14-3.50
Hg 0.2890 0.7110 0.0401  3 Hg 2.97-2.99, 3 Sr 3.17-3.31
Hg 0.2890 0.7110 0.4599  3 Hg 2.97-2.99, 3 Sr 3.17-3.31
Hg 0.3437 0.6563 0.6459  3 Hg 2.97-3.05
Hg 0.3437 0.6563 0.8541  3 Hg 2.97-3.05
Hg 0.4107 0.5893 0.2500  2 Hg 3.21, 1 Sr 3.39
Hg 0.4799 0.5201 0.6022  3 Hg 3.02-3.21, 2 Tl 3.14
Hg 0.4799 0.5201 0.8978  3 Hg 3.02-3.21, 2 Tl 3.14
Hg 0.5201 0.4799 0.1022  3 Hg 3.02-3.21, 2 Tl 3.14
Hg 0.5201 0.4799 0.3978  3 Hg 3.02-3.21, 2 Tl 3.14
Hg 0.5893 0.4107 0.7500  2 Hg 3.21, 1 Sr 3.39
Hg 0.6563 0.3437 0.1459  3 Hg 2.97-3.05
Hg 0.6563 0.3437 0.3541  3 Hg 2.97-3.05
Hg 0.7110 0.2890 0.5401  3 Hg 2.97-2.99, 3 Sr 3.17-3.31
Hg 0.7110 0.2890 0.9599  3 Hg 2.97-2.99, 3 Sr 3.17-3.31

Properties
* SG: No. 63
* DFT total energy: -1.203 eV per atom

---

A relaxed structure of SrTl16Hg12, computed with PBE.

Lattice parameters (Å, degrees): 10.3870 10.3870 9.9356 108.77 108.77 108.00
Closest atoms and distances in Å follow each position.
Element x y z (fractional)
Sr 0.0000 0.0000 0.0000  5 Hg 3.39-3.45, 7 Tl 3.55-3.73
Tl 0.1888 0.5748 0.5976  4 Hg 3.22-3.58, 4 Tl 3.41-3.54
Tl 0.1896 0.8919 0.2849  5 Hg 3.30-3.62, 6 Tl 3.42-3.67, 1 Sr 3.60
Tl 0.2550 0.2550 0.9282  7 Hg 3.42-3.81, 4 Tl 3.48-3.66, 1 Sr 3.55
Tl 0.2575 0.2575 0.5621  5 Hg 3.19-3.53, 3 Tl 3.43-3.52
Tl 0.2697 0.8548 0.9605  5 Hg 3.32-3.45, 6 Tl 3.40-3.70, 1 Sr 3.64
Tl 0.3006 0.9694 0.6770  4 Hg 3.29-3.51, 7 Tl 3.42-3.63
Tl 0.5633 0.5633 0.6268  4 Tl 3.39-3.60, 8 Hg 3.46-3.78
Tl 0.5748 0.1888 0.5976  4 Hg 3.22-3.58, 4 Tl 3.41-3.54
Tl 0.5858 0.9391 0.2852  5 Hg 3.38-3.70, 4 Tl 3.40-3.63
Tl 0.5875 0.8901 0.8813  4 Hg 3.22-3.40, 3 Tl 3.39-3.57
Tl 0.5902 0.5902 0.2835  11 Hg 3.45-3.86, 4 Tl 3.60-3.66
Tl 0.8548 0.2697 0.9605  5 Hg 3.32-3.45, 6 Tl 3.40-3.70, 1 Sr 3.64
Tl 0.8901 0.5875 0.8813  4 Hg 3.22-3.40, 3 Tl 3.39-3.57
Tl 0.8919 0.1896 0.2849  5 Hg 3.30-3.62, 6 Tl 3.42-3.67, 1 Sr 3.60
Tl 0.9391 0.5858 0.2852  5 Hg 3.38-3.70, 4 Tl 3.40-3.63
Tl 0.9694 0.3006 0.6770  4 Hg 3.29-3.51, 7 Tl 3.42-3.63
Hg 0.1950 0.5706 0.0741  3 Hg 3.07-3.15, 3 Tl 3.22-3.43
Hg 0.2022 0.3855 0.2695  3 Hg 3.08-3.18, 3 Tl 3.29-3.42, 1 Sr 3.45
Hg 0.3855 0.2022 0.2695  3 Hg 3.08-3.18, 3 Tl 3.29-3.42, 1 Sr 3.45
Hg 0.3967 0.7483 0.4510  3 Hg 3.11-3.18, 5 Tl 3.29-3.46
Hg 0.4118 0.5941 0.9233  3 Hg 3.06-3.30, 3 Tl 3.22-3.42
Hg 0.5706 0.1950 0.0741  3 Hg 3.07-3.15, 3 Tl 3.22-3.43
Hg 0.5941 0.4118 0.9233  3 Hg 3.06-3.30, 3 Tl 3.22-3.42
Hg 0.7483 0.3967 0.4510  3 Hg 3.11-3.18, 5 Tl 3.29-3.46
Hg 0.7501 0.9482 0.6448  3 Hg 3.11-3.33, 3 Tl 3.32-3.40, 1 Sr 3.39
Hg 0.7894 0.7894 0.1222  3 Hg 3.06-3.30, 2 Tl 3.31, 1 Sr 3.39
Hg 0.9482 0.7501 0.6448  3 Hg 3.11-3.33, 3 Tl 3.32-3.40, 1 Sr 3.39
Hg 0.9683 0.9683 0.4893  3 Hg 3.06-3.12, 3 Tl 3.19-3.35

Properties
* SG: No. 8
* DFT total energy: -1.535 eV per atom

---

A relaxed structure of Sr3Tl7Hg4, computed with PBE.

Lattice parameters (Å, degrees): 9.6086 9.6086 11.7316 127.25 127.25 30.63
Closest atoms and distances in Å follow each position.
Element x y z (fractional)
Sr 0.0000 0.0000 0.0000  6 Hg 3.58-3.83, 6 Tl 3.77-3.89
Sr 0.2981 0.2981 0.2849  9 Tl 3.59-3.89, 5 Hg 3.63-3.89
Sr 0.7019 0.7019 0.7151  9 Tl 3.59-3.89, 5 Hg 3.63-3.89
Tl 0.0000 0.0000 0.5000  2 Hg 3.28, 6 Tl 3.31-3.53
Tl 0.1572 0.1572 0.4257  3 Hg 3.13-3.14, 2 Tl 3.36
Tl 0.3434 0.3434 0.9845  4 Hg 2.99-3.09, 1 Tl 3.19
Tl 0.4902 0.4902 0.6713  3 Hg 3.12-3.35, 5 Tl 3.19-3.36
Tl 0.5098 0.5098 0.3287  3 Hg 3.12-3.35, 5 Tl 3.19-3.36
Tl 0.6566 0.6566 0.0155  4 Hg 2.99-3.09, 1 Tl 3.19
Tl 0.8428 0.8428 0.5743  3 Hg 3.13-3.14, 2 Tl 3.36
Hg 0.1386 0.1386 0.8591  6 Tl 3.02-3.35
Hg 0.3516 0.3516 0.7384  5 Tl 2.99-3.14
Hg 0.6484 0.6484 0.2616  5 Tl 2.99-3.14
Hg 0.8614 0.8614 0.1409  6 Tl 3.02-3.35

Properties
* SG: No. 12
* DFT total energy: -1.885 eV per atom

---

no.,DFT formation energy (eV/atom),Fermi-level density of states (states/eV/f.u.)
1,-0.3374,5.82
2,-0.0462,11.94
3,-0.2555,6.69